Nb2FeCu | Alexandria via LeMat-Bulk | PBE | optimized geometry; DOS at the Fermi energy = 3.8 states/eV/f.u.; SG = I-42d; polymorph energy (0 for the lowest one) = 356 meV per atom; formation enthalpy at 0 K = 0.435 eV per atom
1.0
-3.449 3.449 2.664
3.449 -3.449 2.664
3.449 3.449 -2.664
Nb Fe Cu
4 2 2
Direct
0.094 0.625 0.969
0.375 0.344 0.469
0.656 0.125 0.031
0.875 0.906 0.531
0.000 0.000 0.000
0.750 0.250 0.500
0.250 0.750 0.500
0.500 0.500 0.000

NbFe3Cu | Alexandria via LeMat-Bulk | PBE | optimized geometry; DOS at the Fermi energy = 5.1 states/eV/f.u.; SG = Pm-3m; polymorph energy (0 for the lowest one) = 488 meV per atom; formation enthalpy at 0 K = 1.607 eV per atom
1.0
4.480 0.000 0.000
0.000 4.480 0.000
0.000 0.000 4.480
Nb Fe Cu
1 3 1
Direct
0.000 0.000 0.000
0.000 0.000 0.500
0.000 0.500 0.000
0.500 0.000 0.000
0.500 0.500 0.500

Nb3FeCu | Alexandria via LeMat-Bulk | PBE | optimized geometry; DOS at the Fermi energy = 10.2 states/eV/f.u.; SG = Pm-3m; polymorph energy (0 for the lowest one) = 741 meV per atom; formation enthalpy at 0 K = 1.550 eV per atom
1.0
4.597 0.000 0.000
0.000 4.597 0.000
0.000 0.000 4.597
Nb Fe Cu
3 1 1
Direct
0.000 0.000 0.500
0.000 0.500 0.000
0.500 0.000 0.000
0.500 0.500 0.500
0.000 0.000 0.000

Nb3FeCu | Alexandria via LeMat-Bulk | PBE | optimized geometry; DOS at the Fermi energy = 4.7 states/eV/f.u.; SG = Pm-3m; polymorph energy (0 for the lowest one) = 0 meV per atom; formation enthalpy at 0 K = 0.809 eV per atom
1.0
4.561 0.000 0.000
0.000 4.561 0.000
0.000 0.000 4.561
Nb Fe Cu
3 1 1
Direct
0.000 0.000 0.500
0.000 0.500 0.000
0.500 0.000 0.000
0.000 0.000 0.000
0.500 0.500 0.500

Nb6FeCu | Alexandria via LeMat-Bulk | PBE | optimized geometry; DOS at the Fermi energy = 8.2 states/eV/f.u.; SG = I4/mmm; formation enthalpy at 0 K = 0.047 eV per atom
1.0
-2.318 2.318 6.224
2.318 -2.318 6.224
2.318 2.318 -6.224
Nb Fe Cu
6 1 1
Direct
0.120 0.620 0.500
0.249 0.249 0.000
0.380 0.880 0.500
0.620 0.120 0.500
0.751 0.751 0.000
0.880 0.380 0.500
0.000 0.000 0.000
0.500 0.500 0.000

Nb2FeCu | Alexandria via LeMat-Bulk | PBE | optimized geometry; DOS at the Fermi energy = 3.7 states/eV/f.u.; SG = R-3m; polymorph energy (0 for the lowest one) = 462 meV per atom; formation enthalpy at 0 K = 0.541 eV per atom
1.0
1.377 0.795 9.681
-1.377 0.795 9.681
0.000 -1.590 9.681
Nb Fe Cu
2 1 1
Direct
0.093 0.093 0.093
0.907 0.907 0.907
0.500 0.500 0.500
0.000 0.000 0.000

Theoretical density, respectively: 8.00; 5.98; 6.80; 6.97; 8.40; 7.97 g cm⁻³.